Entry 1:
This record from Alexandria via LeMat-Bulk describes an optimized crystal structure of Be2CdIn. The functional is PBE.

The structure in CIF format:
```
data_Be2CdIn
_space_group_name_H-M_alt 'P 1'
_space_group_IT_number 1
_cell_length_a 4.134
_cell_length_b 4.134
_cell_length_c 6.253
_cell_angle_alpha 78.77
_cell_angle_beta 78.77
_cell_angle_gamma 41.02
loop_
_space_group_symop_operation_xyz
'x,y,z'
loop_
_atom_site_label
_atom_site_type_symbol
_atom_site_fract_x
_atom_site_fract_y
_atom_site_fract_z
Be1 Be 0.982 0.982 0.101
Be2 Be 0.261 0.261 0.156
Cd1 Cd 0.522 0.522 0.436
In1 In 0.734 0.734 0.808
```

ΔE_f   0.41 eV per atom
E_tot   -2.369 eV/atom
SG   No. 8

Entry 2:
This record from Alexandria via LeMat-Bulk describes an optimized crystal structure of Be2CdIn. The functional is PBE.

The structure in CIF format:
```
data_Be2CdIn
_space_group_name_H-M_alt 'P 1'
_space_group_IT_number 1
_cell_length_a 4.794
_cell_length_b 4.794
_cell_length_c 2.914
_cell_angle_alpha 90.00
_cell_angle_beta 90.00
_cell_angle_gamma 102.93
loop_
_space_group_symop_operation_xyz
'x,y,z'
loop_
_atom_site_label
_atom_site_type_symbol
_atom_site_fract_x
_atom_site_fract_y
_atom_site_fract_z
Be1 Be 0.000 0.000 0.000
Be2 Be 0.500 0.500 0.000
Cd1 Cd 0.500 0.000 0.500
In1 In 0.000 0.500 0.500
```

ΔE_f   0.59 eV per atom
E_tot   -2.185 eV/atom
SG   No. 65

Entry 3:
This record from Alexandria via LeMat-Bulk describes an optimized crystal structure of BeCd2In. The functional is PBE.

The structure in CIF format:
```
data_BeCd2In
_space_group_name_H-M_alt 'P 1'
_space_group_IT_number 1
_cell_length_a 4.386
_cell_length_b 4.272
_cell_length_c 4.272
_cell_angle_alpha 90.00
_cell_angle_beta 90.00
_cell_angle_gamma 90.00
loop_
_space_group_symop_operation_xyz
'x,y,z'
loop_
_atom_site_label
_atom_site_type_symbol
_atom_site_fract_x
_atom_site_fract_y
_atom_site_fract_z
Be1 Be 0.500 0.000 0.500
Cd1 Cd 0.000 0.000 0.000
Cd2 Cd 0.000 0.500 0.500
In1 In 0.500 0.500 0.000
```

ΔE_f   0.39 eV per atom
E_tot   -1.684 eV/atom
SG   No. 123

Entry 4:
This record from Alexandria via LeMat-Bulk describes an optimized crystal structure of BeCd2In. The functional is PBE.

The structure in CIF format:
```
data_BeCd2In
_space_group_name_H-M_alt 'P 1'
_space_group_IT_number 1
_cell_length_a 5.320
_cell_length_b 5.320
_cell_length_c 5.320
_cell_angle_alpha 132.55
_cell_angle_beta 132.55
_cell_angle_gamma 69.37
loop_
_space_group_symop_operation_xyz
'x,y,z'
loop_
_atom_site_label
_atom_site_type_symbol
_atom_site_fract_x
_atom_site_fract_y
_atom_site_fract_z
Be1 Be 0.750 0.250 0.500
Cd1 Cd 0.000 0.000 0.000
Cd2 Cd 0.500 0.500 0.000
In1 In 0.250 0.750 0.500
```

ΔE_f   0.39 eV per atom
E_tot   -1.685 eV/atom
SG   No. 139

Entry 5:
This record from Alexandria via LeMat-Bulk describes an optimized crystal structure of BeCdIn2. The functional is PBE.

The structure in CIF format:
```
data_BeCdIn2
_space_group_name_H-M_alt 'P 1'
_space_group_IT_number 1
_cell_length_a 4.542
_cell_length_b 4.542
_cell_length_c 9.495
_cell_angle_alpha 76.16
_cell_angle_beta 76.16
_cell_angle_gamma 90.00
loop_
_space_group_symop_operation_xyz
'x,y,z'
loop_
_atom_site_label
_atom_site_type_symbol
_atom_site_fract_x
_atom_site_fract_y
_atom_site_fract_z
Be1 Be 0.500 0.500 0.000
Be2 Be 0.250 0.750 0.500
Cd1 Cd 0.000 0.000 0.000
Cd2 Cd 0.750 0.250 0.500
In1 In 0.588 0.125 0.250
In2 In 0.162 0.625 0.250
In3 In 0.375 0.412 0.750
In4 In 0.875 0.838 0.750
```

ΔE_f   0.40 eV per atom
E_tot   -2.127 eV/atom
SG   No. 122

Entry 6:
This record from Alexandria via LeMat-Bulk describes an optimized crystal structure of BeCdIn2. The functional is PBE.

The structure in CIF format:
```
data_BeCdIn2
_space_group_name_H-M_alt 'P 1'
_space_group_IT_number 1
_cell_length_a 4.283
_cell_length_b 4.236
_cell_length_c 5.337
_cell_angle_alpha 64.47
_cell_angle_beta 90.00
_cell_angle_gamma 90.00
loop_
_space_group_symop_operation_xyz
'x,y,z'
loop_
_atom_site_label
_atom_site_type_symbol
_atom_site_fract_x
_atom_site_fract_y
_atom_site_fract_z
Be1 Be 0.000 0.684 0.474
Cd1 Cd 0.500 0.562 0.757
In1 In 0.000 0.971 0.928
In2 In 0.500 0.284 0.342
```

ΔE_f   0.32 eV per atom
E_tot   -2.212 eV/atom
SG   No. 6

Entry 7:
This record from Alexandria via LeMat-Bulk describes an optimized crystal structure of BeCdIn2. The functional is PBE.

The structure in CIF format:
```
data_BeCdIn2
_space_group_name_H-M_alt 'P 1'
_space_group_IT_number 1
_cell_length_a 4.989
_cell_length_b 4.989
_cell_length_c 4.989
_cell_angle_alpha 60.00
_cell_angle_beta 60.00
_cell_angle_gamma 60.00
loop_
_space_group_symop_operation_xyz
'x,y,z'
loop_
_atom_site_label
_atom_site_type_symbol
_atom_site_fract_x
_atom_site_fract_y
_atom_site_fract_z
Be1 Be 0.000 0.000 0.000
Cd1 Cd 0.500 0.500 0.500
In1 In 0.250 0.250 0.250
In2 In 0.750 0.750 0.750
```

ΔE_f   0.46 eV per atom
E_tot   -2.067 eV/atom
SG   No. 225

Entry 8:
This record from Alexandria via LeMat-Bulk describes an optimized crystal structure of BeCd2In. The functional is PBE.

The structure in CIF format:
```
data_BeCd2In
_space_group_name_H-M_alt 'P 1'
_space_group_IT_number 1
_cell_length_a 4.924
_cell_length_b 4.924
_cell_length_c 6.017
_cell_angle_alpha 73.83
_cell_angle_beta 73.83
_cell_angle_gamma 35.91
loop_
_space_group_symop_operation_xyz
'x,y,z'
loop_
_atom_site_label
_atom_site_type_symbol
_atom_site_fract_x
_atom_site_fract_y
_atom_site_fract_z
Be1 Be 0.250 0.250 0.250
Cd1 Cd 0.972 0.972 0.044
Cd2 Cd 0.528 0.528 0.456
In1 In 0.750 0.750 0.750
```

ΔE_f   0.31 eV per atom
E_tot   -1.763 eV/atom
SG   No. 12